BeFe2Br: relaxed, PBE-GGA.

Structure (POSCAR):
```
BeFe2Br
1.0
3.076 0.000 0.000
0.000 3.076 0.000
0.000 0.000 5.849
Be Fe Br
1 2 1
direct
0.000 0.000 0.000
0.000 0.000 0.625
0.500 0.500 0.857
0.500 0.500 0.311
```

ΔE_f (raw) = 0.37 eV per atom
SG = No. 99
E_tot = -5.21 eV/atom